Entry from Alexandria: a relaxed KRb2CdPb crystal (GGA-PBEsol).

Results
The value obtained for the magnetic moment is 0.228 μB per formula unit. The formation energy comes out at 7.80 kJ/mol of atoms. The density of states at the Fermi level is 3.11 states/eV/f.u. The value obtained for the electronic total energy is -1.5950 eV/atom.

Cell lengths 5.654, 6.859, 6.859 Å; angles 90.00, 90.00, 90.00 degrees
Sites, in units of the cell vectors:
Pb  0.500  0.000  0.000
Cd  0.000  0.000  0.000
Rb  0.000  0.000  0.500
Rb  0.000  0.500  0.000
K  0.500  0.500  0.500